Arrangement A

First-principles (PBE) data for a relaxed structure of LaPm4Er, as listed in the Alexandria database.

Cell lengths 3.6598, 5.1187, 12.1185 Å; angles 114.96, 90.00, 90.00 degrees
Sites, in units of the cell vectors:
Pm1 0.0000 0.3360 0.3367
Pm2 0.0000 0.6640 0.6633
Pm3 0.5000 0.3280 0.8281
Pm4 0.5000 0.6720 0.1719
La1 0.0000 0.0000 0.0000
Er1 0.5000 0.0000 0.5000

Results
Space group   No. 47
Size of the total moment   0.00 μB/f.u.



Arrangement B

First-principles (PBE) data for a relaxed structure of LaPm4Er, as listed in the Alexandria database.

Cell lengths 6.7021, 6.7021, 6.7021 Å; angles 60.00, 60.00, 60.00 degrees
Sites, in units of the cell vectors:
Er1 0.0000 0.0000 0.0000
Pm1 0.6260 0.6260 0.6260
Pm2 0.6260 0.1221 0.6260
Pm3 0.6260 0.6260 0.1221
Pm4 0.1221 0.6260 0.6260
La1 0.2500 0.2500 0.2500

Results
Space group   No. 216
Size of the total moment   0.00 μB/f.u.



So which one is most stable? That would be arrangement A, about 22.0 kJ/mol of atoms below the next structure.



Arrangement A

First-principles (PBE) data for a relaxed structure of La6PmEr2, as listed in the Alexandria database.

Cell lengths 10.1543, 10.1543, 3.7023 Å; angles 90.00, 90.00, 124.17 degrees
Sites, in units of the cell vectors:
La1 0.3249 0.3249 0.5000
La2 0.4936 0.1612 0.0000
La3 0.6751 0.6751 0.5000
La4 0.5064 0.8388 0.0000
La5 0.1612 0.4936 0.0000
La6 0.8388 0.5064 0.0000
Er1 0.1759 0.8241 0.5000
Er2 0.8241 0.1759 0.5000
Pm1 0.0000 0.0000 0.0000

Results
Space group   No. 65
Size of the total moment   0.00 μB/f.u.



Arrangement B

First-principles (PBE) data for a relaxed structure of La6PmEr2, as listed in the Alexandria database.

Cell lengths 3.6631, 3.6631, 27.6373 Å; angles 90.00, 90.00, 120.00 degrees
Sites, in units of the cell vectors:
La1 0.3333 0.6667 0.2249
La2 0.3333 0.6667 0.4334
La3 0.6667 0.3333 0.8902
La4 0.3333 0.6667 0.7751
La5 0.3333 0.6667 0.5666
La6 0.6667 0.3333 0.1098
Er1 0.6667 0.3333 0.3305
Er2 0.6667 0.3333 0.6695
Pm1 0.3333 0.6667 0.0000

Results
Space group   No. 187
Size of the total moment   0.00 μB/f.u.



So which one is most stable? That would be arrangement B, about 5.8 kJ/mol of atoms below the next structure.



Arrangement A

First-principles (PBE) data for a relaxed structure of La12Pm2Er5, as listed in the Alexandria database.

Cell lengths 11.8419, 10.8814, 6.2881 Å; angles 99.98, 90.00, 122.97 degrees
Sites, in units of the cell vectors:
La1 0.5431 0.6082 0.8026
La2 0.4569 0.3918 0.1974
La3 0.8590 0.2132 0.6200
La4 0.3542 0.2132 0.6200
La5 0.8837 0.7673 0.9918
La6 0.5567 0.1134 0.2704
La7 0.0651 0.6082 0.8026
La8 0.1410 0.7868 0.3800
La9 0.6458 0.7868 0.3800
La10 0.1163 0.2327 0.0082
La11 0.4433 0.8866 0.7296
La12 0.9349 0.3918 0.1974
Pm1 0.7663 0.0000 0.0000
Pm2 0.2337 0.0000 0.0000
Er1 0.2160 0.4320 0.5584
Er2 0.0000 0.0000 0.5000
Er3 0.3179 0.6358 0.1425
Er4 0.7840 0.5680 0.4416
Er5 0.6821 0.3642 0.8575

Results
Space group   No. 12
Size of the total moment   0.00 μB/f.u.



Arrangement B

First-principles (PBE) data for a relaxed structure of La12Pm2Er5, as listed in the Alexandria database.

Cell lengths 11.8317, 8.9064, 9.5515 Å; angles 70.00, 90.00, 131.62 degrees
Sites, in units of the cell vectors:
Er1 0.2179 0.4359 0.6375
Er2 0.7821 0.5641 0.3625
Er3 0.6969 0.3938 0.7670
Er4 0.3031 0.6062 0.2330
Er5 0.0000 0.0000 0.5000
La1 0.5247 0.5720 0.8119
La2 0.9526 0.4280 0.1881
La3 0.9011 0.8022 0.9210
La4 0.3632 0.2086 0.5935
La5 0.0474 0.5720 0.8119
La6 0.6368 0.7914 0.4065
La7 0.5632 0.1265 0.2264
La8 0.4368 0.8735 0.7736
La9 0.8454 0.2086 0.5935
La10 0.1546 0.7914 0.4065
La11 0.4753 0.4280 0.1881
La12 0.0989 0.1978 0.0790
Pm1 0.2868 0.0000 0.0000
Pm2 0.7132 0.0000 0.0000

Results
Space group   No. 12
Size of the total moment   0.00 μB/f.u.



So which one is most stable? That would be arrangement A, about 1.1 kJ/mol of atoms below the next structure.



Arrangement A

First-principles (PBE) data for a relaxed structure of La8Pm2Er, as listed in the Alexandria database.

Cell lengths 5.8026, 8.3234, 9.6928 Å; angles 115.41, 107.42, 90.00 degrees
Sites, in units of the cell vectors:
La1 0.3658 0.5667 0.7316
La2 0.0001 0.7088 0.0001
La3 0.3655 0.1642 0.7310
La4 0.8404 0.8402 0.6809
La5 0.6345 0.8358 0.2690
La6 0.1596 0.1598 0.3191
La7 0.9999 0.2912 0.9999
La8 0.6342 0.4333 0.2684
Er1 0.5000 0.0000 0.0000
Pm1 0.2022 0.7018 0.4045
Pm2 0.7978 0.2982 0.5955

Results
Space group   No. 71
Size of the total moment   0.00 μB/f.u.



Arrangement B

First-principles (PBE) data for a relaxed structure of La8Pm2Er, as listed in the Alexandria database.

Cell lengths 6.0890, 9.6558, 9.6558 Å; angles 122.48, 105.53, 105.53 degrees
Sites, in units of the cell vectors:
Er1 0.5000 0.0000 0.0000
La1 0.8174 0.6690 0.9041
La2 0.2993 0.5807 0.5807
La3 0.7007 0.4193 0.4193
La4 0.5000 0.2050 0.7950
La5 0.1826 0.0959 0.3310
La6 0.1826 0.3310 0.0959
La7 0.5000 0.7950 0.2050
La8 0.8174 0.9041 0.6690
Pm1 0.0000 0.6903 0.3097
Pm2 0.0000 0.3097 0.6903

Results
Space group   No. 12
Size of the total moment   0.00 μB/f.u.



So which one is most stable? That would be arrangement A, about 2.1 kJ/mol of atoms below the next structure.



Arrangement A

First-principles (PBE) data for a relaxed structure of La2PmEr4, as listed in the Alexandria database.

Cell lengths 8.5245, 8.5221, 8.5186 Å; angles 109.45, 109.48, 109.48 degrees
Sites, in units of the cell vectors:
Pm1 0.7501 0.5001 0.2500
Pm2 0.9999 0.9999 0.9999
Er1 0.2916 0.2507 0.8761
Er2 0.6257 0.7503 0.5413
Er3 0.6254 0.7497 0.0410
Er4 0.4586 0.0844 0.2092
Er5 0.1243 0.4155 0.3747
Er6 0.9588 0.5844 0.7085
Er7 0.7910 0.2492 0.8754
Er8 0.1244 0.9156 0.3739
La1 0.8751 0.1231 0.4983
La2 0.5021 0.3771 0.6252
La3 0.3749 0.8767 0.7516
La4 0.2480 0.6231 0.1250

Results
Space group   No. 122
Size of the total moment   0.00 μB/f.u.



Arrangement B

First-principles (PBE) data for a relaxed structure of La2PmEr4, as listed in the Alexandria database.

Cell lengths 4.6130, 4.6130, 11.7401 Å; angles 101.33, 101.33, 90.00 degrees
Sites, in units of the cell vectors:
La1 0.4008 0.4008 0.8016
La2 0.5992 0.5992 0.1984
Er1 0.2500 0.7500 0.5000
Er2 0.1410 0.1410 0.2820
Er3 0.8590 0.8590 0.7180
Er4 0.7500 0.2500 0.5000
Pm1 0.0000 0.0000 0.0000

Results
Space group   No. 139
Size of the total moment   0.00 μB/f.u.



So which one is most stable? That would be arrangement B, about 0.7 kJ/mol of atoms below the next structure.



Arrangement A

First-principles (PBE) data for a relaxed structure of La2Pm3Er6, as listed in the Alexandria database.

Cell lengths 4.7828, 4.7828, 16.9840 Å; angles 98.09, 98.09, 90.00 degrees
Sites, in units of the cell vectors:
Er1 0.8778 0.3778 0.7556
Er2 0.6222 0.1222 0.2444
Er3 0.6924 0.6924 0.3849
Er4 0.1222 0.6222 0.2444
Er5 0.3076 0.3076 0.6151
Er6 0.3778 0.8778 0.7556
La1 0.4537 0.4537 0.9075
La2 0.5463 0.5463 0.0925
Pm1 0.0000 0.0000 0.0000
Pm2 0.2044 0.2044 0.4088
Pm3 0.7956 0.7956 0.5912

Results
Space group   No. 139
Size of the total moment   0.00 μB/f.u.



Arrangement B

First-principles (PBE) data for a relaxed structure of La2Pm3Er6, as listed in the Alexandria database.

Cell lengths 6.2074, 6.1368, 11.6931 Å; angles 85.62, 81.31, 59.62 degrees
Sites, in units of the cell vectors:
Er1 0.9258 0.6666 0.2463
Er2 0.0742 0.3334 0.7537
Er3 0.5924 0.3334 0.2463
Er4 0.7401 0.0000 0.7499
Er5 0.4076 0.6666 0.7537
Er6 0.2599 0.0000 0.2501
Pm1 0.0000 0.0000 0.0000
Pm2 0.3358 0.3283 0.0000
Pm3 0.6642 0.6717 0.0000
La1 0.8239 0.3522 0.5000
La2 0.1761 0.6478 0.5000

Results
Space group   No. 12
Size of the total moment   0.00 μB/f.u.



So which one is most stable? That would be arrangement B, about 7.1 kJ/mol of atoms below the next structure.